*one*
Compound: NaAl3Cl
Source: Alexandria via LeMat-Bulk
Functional: PBE
Structure: optimized geometry

```
data_NaAl3Cl
_space_group_name_H-M_alt 'P m -3 m'
_space_group_IT_number 221
_space_group_name_Hall '-P 4 2 3'
_cell_length_a 5.414
_cell_length_b 5.414
_cell_length_c 5.414
_cell_angle_alpha 90.00
_cell_angle_beta 90.00
_cell_angle_gamma 90.00
loop_
_atom_site_label
_atom_site_fract_x
_atom_site_fract_y
_atom_site_fract_z
Na1 0.000 0.000 0.000
Al1 0.000 0.000 0.500
Cl1 0.500 0.500 0.500
```

Properties
Total magnetization: 0.00 μB/cell



*two*
Compound: NaAl3Cl
Source: Alexandria via LeMat-Bulk
Functional: PBE
Structure: optimized geometry

```
data_NaAl3Cl
_space_group_name_H-M_alt 'P m -3 m'
_space_group_IT_number 221
_space_group_name_Hall '-P 4 2 3'
_cell_length_a 5.254
_cell_length_b 5.254
_cell_length_c 5.254
_cell_angle_alpha 90.00
_cell_angle_beta 90.00
_cell_angle_gamma 90.00
loop_
_atom_site_label
_atom_site_fract_x
_atom_site_fract_y
_atom_site_fract_z
Na1 0.000 0.000 0.000
Al1 0.000 0.500 0.500
Cl1 0.500 0.500 0.500
```

Properties
Total magnetization: 0.00 μB/cell



Stability verdict: *two*, ahead by 36.4 kJ/mol of atoms



*one*
Compound: Na4Al3Si3ClO12
Source: Alexandria via LeMat-Bulk
Functional: PBE
Structure: optimized geometry

```
data_Na4Al3Si3ClO12
_space_group_name_H-M_alt 'P -4 3 n'
_space_group_IT_number 218
_space_group_name_Hall 'P -4n 2 3'
_cell_length_a 8.964
_cell_length_b 8.964
_cell_length_c 8.964
_cell_angle_alpha 90.00
_cell_angle_beta 90.00
_cell_angle_gamma 90.00
loop_
_atom_site_label
_atom_site_fract_x
_atom_site_fract_y
_atom_site_fract_z
Na1 0.177 0.177 0.177
Al1 0.000 0.250 0.500
Si1 0.000 0.500 0.250
Cl1 0.000 0.000 0.000
O1 0.063 0.361 0.649
```

Properties
Total magnetization: 0.00 μB/cell



*two*
Compound: Na4Al3Si3ClO12
Source: Alexandria via LeMat-Bulk
Functional: PBE
Structure: optimized geometry

```
data_Na4Al3Si3ClO12
_space_group_name_H-M_alt 'C 1 2 1'
_space_group_IT_number 5
_space_group_name_Hall 'C 2y'
_cell_length_a 12.648
_cell_length_b 8.991
_cell_length_c 8.914
_cell_angle_alpha 90.00
_cell_angle_beta 134.68
_cell_angle_gamma 90.00
loop_
_atom_site_label
_atom_site_fract_x
_atom_site_fract_y
_atom_site_fract_z
Na1 0.175 0.000 0.499
Na2 0.178 0.644 0.851
Al1 0.000 0.571 0.000
Al2 0.249 0.321 0.758
Si1 0.000 0.076 0.000
Si2 0.010 0.324 0.258
Cl1 0.000 0.822 0.500
O1 0.052 0.181 0.908
O2 0.075 0.454 0.217
O3 0.132 0.385 0.787
O4 0.144 0.259 0.497
O5 0.145 0.675 0.071
O6 0.145 0.979 0.195
```

Properties
Total magnetization: 0.13 μB/cell



Stability verdict: *one*, ahead by 2.2 kJ/mol of atoms



*one*
Compound: NaAlS2Cl
Source: Alexandria via LeMat-Bulk
Functional: PBE
Structure: optimized geometry

```
data_NaAlS2Cl
_space_group_name_H-M_alt 'P 4/m m m'
_space_group_IT_number 123
_space_group_name_Hall '-P 4 2'
_cell_length_a 4.571
_cell_length_b 4.571
_cell_length_c 5.197
_cell_angle_alpha 90.00
_cell_angle_beta 90.00
_cell_angle_gamma 90.00
loop_
_atom_site_label
_atom_site_fract_x
_atom_site_fract_y
_atom_site_fract_z
Na1 0.000 0.000 0.000
Al1 0.500 0.500 0.500
S1 0.000 0.500 0.500
Cl1 0.500 0.500 0.000
```

Properties
Total magnetization: 0.25 μB/cell



*two*
Compound: NaAlS2Cl
Source: Alexandria via LeMat-Bulk
Functional: PBE
Structure: optimized geometry

```
data_NaAlS2Cl
_space_group_name_H-M_alt 'P 4/m m m'
_space_group_IT_number 123
_space_group_name_Hall '-P 4 2'
_cell_length_a 5.187
_cell_length_b 5.187
_cell_length_c 5.053
_cell_angle_alpha 90.00
_cell_angle_beta 90.00
_cell_angle_gamma 90.00
loop_
_atom_site_label
_atom_site_fract_x
_atom_site_fract_y
_atom_site_fract_z
Na1 0.000 0.000 0.000
Al1 0.500 0.500 0.500
S1 0.000 0.500 0.000
Cl1 0.000 0.000 0.500
```

Properties
Total magnetization: 3.01 μB/cell



Stability verdict: *one*, ahead by 116.7 kJ/mol of atoms



*one*
Compound: NbAlCl2
Source: Alexandria via LeMat-Bulk
Functional: PBE
Structure: optimized geometry

```
data_NbAlCl2
_space_group_name_H-M_alt 'R -3 m'
_space_group_IT_number 166
_space_group_name_Hall '-R 3 2"'
_cell_length_a 3.1574
_cell_length_b 3.1574
_cell_length_c 28.3462
_cell_angle_alpha 90.00
_cell_angle_beta 90.00
_cell_angle_gamma 120.00
loop_
_atom_site_label
_atom_site_fract_x
_atom_site_fract_y
_atom_site_fract_z
Nb1 0.0000 0.0000 0.0000
Al1 0.0000 0.0000 0.5000
Cl1 0.0000 0.0000 0.3971
```

Properties
Total magnetization: 0.00 μB/cell



*two*
Compound: NbAlCl2
Source: Alexandria via LeMat-Bulk
Functional: PBE
Structure: optimized geometry

```
data_NbAlCl2
_space_group_name_H-M_alt 'F m -3 m'
_space_group_IT_number 225
_space_group_name_Hall '-F 4 2 3'
_cell_length_a 6.552
_cell_length_b 6.552
_cell_length_c 6.552
_cell_angle_alpha 90.00
_cell_angle_beta 90.00
_cell_angle_gamma 90.00
loop_
_atom_site_label
_atom_site_fract_x
_atom_site_fract_y
_atom_site_fract_z
Nb1 0.000 0.000 0.000
Al1 0.000 0.000 0.500
Cl1 0.250 0.250 0.250
```

Properties
Total magnetization: 0.00 μB/cell



*three*
Compound: NbAlCl2
Source: Alexandria via LeMat-Bulk
Functional: PBE
Structure: optimized geometry

```
data_NbAlCl2
_space_group_name_H-M_alt 'I -4 2 d'
_space_group_IT_number 122
_space_group_name_Hall 'I -4 2bw'
_cell_length_a 4.188
_cell_length_b 4.188
_cell_length_c 17.464
_cell_angle_alpha 90.00
_cell_angle_beta 90.00
_cell_angle_gamma 90.00
loop_
_atom_site_label
_atom_site_fract_x
_atom_site_fract_y
_atom_site_fract_z
Nb1 0.000 0.000 0.000
Al1 0.000 0.000 0.500
Cl1 0.236 0.250 0.125
```

Properties
Total magnetization: 0.00 μB/cell



Stability verdict: *one*, ahead by 37.5 kJ/mol of atoms



*one*
Compound: NbAlCl3
Source: Alexandria via LeMat-Bulk
Functional: PBE
Structure: optimized geometry

```
data_NbAlCl3
_space_group_name_H-M_alt 'P m -3 m'
_space_group_IT_number 221
_space_group_name_Hall '-P 4 2 3'
_cell_length_a 5.119
_cell_length_b 5.119
_cell_length_c 5.119
_cell_angle_alpha 90.00
_cell_angle_beta 90.00
_cell_angle_gamma 90.00
loop_
_atom_site_label
_atom_site_fract_x
_atom_site_fract_y
_atom_site_fract_z
Nb1 0.000 0.000 0.000
Al1 0.500 0.500 0.500
Cl1 0.000 0.000 0.500
```

Properties
Total magnetization: 3.00 μB/cell



*two*
Compound: NbAlCl3
Source: Alexandria via LeMat-Bulk
Functional: PBE
Structure: optimized geometry

```
data_NbAlCl3
_space_group_name_H-M_alt 'P m -3 m'
_space_group_IT_number 221
_space_group_name_Hall '-P 4 2 3'
_cell_length_a 4.885
_cell_length_b 4.885
_cell_length_c 4.885
_cell_angle_alpha 90.00
_cell_angle_beta 90.00
_cell_angle_gamma 90.00
loop_
_atom_site_label
_atom_site_fract_x
_atom_site_fract_y
_atom_site_fract_z
Nb1 0.000 0.000 0.000
Al1 0.500 0.500 0.500
Cl1 0.000 0.500 0.500
```

Properties
Total magnetization: 4.14 μB/cell



Stability verdict: *one*, ahead by 49.3 kJ/mol of atoms



*one*
Compound: NbAl2Cl
Source: Alexandria via LeMat-Bulk
Functional: PBE
Structure: optimized geometry

```
data_NbAl2Cl
_space_group_name_H-M_alt 'I -4 2 d'
_space_group_IT_number 122
_space_group_name_Hall 'I -4 2bw'
_cell_length_a 7.333
_cell_length_b 7.333
_cell_length_c 5.508
_cell_angle_alpha 90.00
_cell_angle_beta 90.00
_cell_angle_gamma 90.00
loop_
_atom_site_label
_atom_site_fract_x
_atom_site_fract_y
_atom_site_fract_z
Nb1 0.000 0.000 0.000
Al1 0.239 0.750 0.625
Cl1 0.000 0.000 0.500
```

Properties
Total magnetization: 0.00 μB/cell



*two*
Compound: NbAl2Cl
Source: Alexandria via LeMat-Bulk
Functional: PBE
Structure: optimized geometry

```
data_NbAl2Cl
_space_group_name_H-M_alt 'F m -3 m'
_space_group_IT_number 225
_space_group_name_Hall '-F 4 2 3'
_cell_length_a 6.689
_cell_length_b 6.689
_cell_length_c 6.689
_cell_angle_alpha 90.00
_cell_angle_beta 90.00
_cell_angle_gamma 90.00
loop_
_atom_site_label
_atom_site_fract_x
_atom_site_fract_y
_atom_site_fract_z
Nb1 0.000 0.000 0.000
Al1 0.250 0.250 0.250
Cl1 0.000 0.000 0.500
```

Properties
Total magnetization: 0.00 μB/cell



Stability verdict: *one*, ahead by 17.1 kJ/mol of atoms